The following is a DFT calculation (PBE-GGA) of crystalline La2MnW at its relaxed geometry.

Values from the calculation:
total magnetic moment: 4.0 μB per formula unit
energy of formation: 0.72 eV per atom
energy above the most stable polymorph in this dataset: 407 meV/atom
D(E_F): 1.326 states/eV per atom

Cell lengths 5.595, 5.595, 5.595 Å; angles 132.52, 132.52, 69.42 degrees
Atoms (fractional coordinates):
La1 0.000 0.000 0.000
La2 0.750 0.250 0.500
Mn1 0.250 0.750 0.500
W1 0.500 0.500 0.000


The following is a DFT calculation (PBE-GGA) of crystalline Er3MgHg2 at its relaxed geometry.

Values from the calculation:
total magnetic moment: 0.0 μB per formula unit
energy of formation: -0.35 eV per atom
energy above the most stable polymorph in this dataset: 13 meV/atom
D(E_F): 0.918 states/eV per atom

Cell lengths 3.733, 3.733, 10.995 Å; angles 90.00, 90.00, 90.00 degrees
Atoms (fractional coordinates):
Er1 0.000 0.000 0.000
Er2 0.000 0.000 0.329
Er3 0.000 0.000 0.671
Mg1 0.500 0.500 0.500
Hg1 0.500 0.500 0.172
Hg2 0.500 0.500 0.828


The following is a DFT calculation (PBE-GGA) of crystalline Sr2Ac2Ru at its relaxed geometry.

Values from the calculation:
total magnetic moment: 0.0 μB per formula unit
energy of formation: -0.10 eV per atom
energy above the most stable polymorph in this dataset: 0 meV/atom
D(E_F): 0.476 states/eV per atom

Cell lengths 8.394, 8.394, 7.400 Å; angles 106.76, 106.76, 60.53 degrees
Atoms (fractional coordinates):
Sr1 0.001 0.751 0.501
Sr2 0.249 0.999 0.999
Sr3 0.751 0.001 0.001
Sr4 0.999 0.249 0.499
Ac1 0.266 0.500 0.000
Ac2 0.500 0.266 0.500
Ac3 0.500 0.734 0.500
Ac4 0.734 0.500 0.000
Ru1 0.384 0.616 0.750
Ru2 0.616 0.384 0.250


The following is a DFT calculation (PBE-GGA) of crystalline Co2NiAgN at its relaxed geometry.

Values from the calculation:
total magnetic moment: 3.2 μB per formula unit
D(E_F): 1.266 states/eV per atom
raw formation energy: 9.8 kJ per mole of atoms

Cell lengths 3.812, 3.812, 3.876 Å; angles 90.00, 90.00, 90.00 degrees
Atoms (fractional coordinates):
Co1 0.000 0.500 0.000
Co2 0.500 0.000 0.000
Ni1 0.000 0.000 0.500
Ag1 0.500 0.500 0.500
N1 0.000 0.000 0.000


The following is a DFT calculation (PBE-GGA) of crystalline Sc2CrRh at its relaxed geometry.

Values from the calculation:
total magnetic moment: 0.8 μB per formula unit
energy of formation: 0.29 eV per atom
energy above the most stable polymorph in this dataset: 665 meV/atom
D(E_F): 1.564 states/eV per atom

Cell lengths 9.289, 9.289, 9.289 Å; angles 18.55, 18.55, 18.55 degrees
Atoms (fractional coordinates):
Sc1 0.090 0.090 0.090
Sc2 0.910 0.910 0.910
Cr1 0.000 0.000 0.000
Rh1 0.500 0.500 0.500


The following is a DFT calculation (PBE-GGA) of crystalline LaMg2InRh at its relaxed geometry.

Values from the calculation:
total magnetic moment: 0.0 μB per formula unit
energy of formation: -0.30 eV per atom
energy above the most stable polymorph in this dataset: 38 meV/atom
D(E_F): 1.040 states/eV per atom

Cell lengths 5.101, 5.101, 5.323 Å; angles 90.00, 90.00, 90.00 degrees
Atoms (fractional coordinates):
La1 0.000 0.000 0.000
Mg1 0.000 0.500 0.500
Mg2 0.500 0.000 0.500
In1 0.500 0.500 0.000
Rh1 0.000 0.000 0.500


The following is a DFT calculation (PBE-GGA) of crystalline PaTl2SnS5 at its relaxed geometry.

Values from the calculation:
total magnetic moment: 0.0 μB per formula unit
D(E_F): 0.347 states/eV per atom
raw formation energy: -76.2 kJ per mole of atoms

Cell lengths 8.866, 8.866, 14.438 Å; angles 90.00, 90.00, 152.51 degrees
Atoms (fractional coordinates):
Pa1 0.217 0.783 0.500
Pa2 0.783 0.217 0.000
Tl1 0.096 0.904 0.159
Tl2 0.140 0.860 0.783
Tl3 0.860 0.140 0.283
Tl4 0.904 0.096 0.659
Sn1 0.477 0.523 0.926
Sn2 0.523 0.477 0.426
S1 0.058 0.942 0.523
S2 0.280 0.720 0.114
S3 0.314 0.686 0.886
S4 0.363 0.637 0.474
S5 0.492 0.508 0.261
S6 0.508 0.492 0.761
S7 0.637 0.363 0.974
S8 0.686 0.314 0.386
S9 0.720 0.280 0.614
S10 0.942 0.058 0.023


The following is a DFT calculation (PBE-GGA) of crystalline CsAs2SeBr at its relaxed geometry.

Values from the calculation:
total magnetic moment: 6.0 μB per formula unit
energy above the most stable polymorph in this dataset: 1362 meV/atom
D(E_F): 0.750 states/eV per atom
raw formation energy: 127.0 kJ per mole of atoms

Cell lengths 6.234, 6.234, 6.758 Å; angles 90.00, 90.00, 90.00 degrees
Atoms (fractional coordinates):
Cs1 0.000 0.000 0.000
As1 0.000 0.500 0.000
As2 0.500 0.000 0.000
Se1 0.500 0.500 0.500
Br1 0.000 0.000 0.500


The following is a DFT calculation (PBE-GGA) of crystalline Mg2OsRu at its relaxed geometry.

Values from the calculation:
total magnetic moment: 0.0 μB per formula unit
energy of formation: 0.28 eV per atom
energy above the most stable polymorph in this dataset: 272 meV/atom
D(E_F): 1.390 states/eV per atom

Cell lengths 5.043, 5.043, 2.699 Å; angles 90.00, 90.00, 114.60 degrees
Atoms (fractional coordinates):
Mg1 0.000 0.500 0.000
Mg2 0.500 0.000 0.000
Os1 0.000 0.000 0.500
Ru1 0.500 0.500 0.500


The following is a DFT calculation (PBE-GGA) of crystalline Rb2In4GePb3 at its relaxed geometry.

Values from the calculation:
total magnetic moment: 0.0 μB per formula unit
energy of formation: -0.06 eV per atom
D(E_F): 0.402 states/eV per atom

Cell lengths 5.253, 5.253, 12.339 Å; angles 90.00, 90.00, 90.00 degrees
Atoms (fractional coordinates):
Rb1 0.000 0.500 0.245
Rb2 0.500 0.000 0.755
In1 0.000 0.000 0.500
In2 0.000 0.500 0.880
In3 0.500 0.000 0.120
In4 0.500 0.500 0.500
Ge1 0.500 0.500 0.000
Pb1 0.000 0.000 0.000
Pb2 0.000 0.500 0.635
Pb3 0.500 0.000 0.365


The following is a DFT calculation (PBE-GGA) of crystalline SiPCl3 at its relaxed geometry.

Values from the calculation:
total magnetic moment: 2.5 μB per formula unit
energy above the most stable polymorph in this dataset: 0 meV/atom
D(E_F): 1.014 states/eV per atom
raw formation energy: 23.8 kJ per mole of atoms

Cell lengths 4.915, 4.915, 4.915 Å; angles 90.00, 90.00, 90.00 degrees
Atoms (fractional coordinates):
Si1 0.000 0.000 0.000
P1 0.500 0.500 0.500
Cl1 0.000 0.000 0.500
Cl2 0.000 0.500 0.000
Cl3 0.500 0.000 0.000


The following is a DFT calculation (PBE-GGA) of crystalline Ca2Sc2Sb2O at its relaxed geometry.

Values from the calculation:
total magnetic moment: 0.0 μB per formula unit
D(E_F): 0.687 states/eV per atom
raw formation energy: -149.6 kJ per mole of atoms

Cell lengths 8.855, 8.855, 8.855 Å; angles 151.16, 151.16, 41.24 degrees
Atoms (fractional coordinates):
Ca1 0.170 0.170 0.000
Ca2 0.830 0.830 0.000
Sc1 0.000 0.500 0.500
Sc2 0.500 0.000 0.500
Sb1 0.369 0.369 0.000
Sb2 0.631 0.631 0.000
O1 0.000 0.000 0.000